No. 1
Here is crystalline LiMg at its relaxed geometry from Alexandria. Energies are from PBE.

The structure belongs to space group P6_3/mmc (No. 194); the cell edges are 4.2626, 4.2626 and 6.0716 Å and the angles 90.00°, 90.00° and 120.00°. The distinct sites, in fractional coordinates, are Li at (0.0000, 0.0000, 0.0000) and Mg at (0.3333, 0.6667, 0.2500).

For the volume, the calculation gives 95.54 Å³/cell. The calculation puts the density of states at the Fermi level at 0.58 states/eV/f.u.

No. 2
Here is crystalline ScCd2Au2 at its relaxed geometry from Alexandria. Energies are from PBE.

The structure belongs to space group P2_1/m (No. 11); the cell edges are 4.756, 4.682 and 9.881 Å and the angles 90.00°, 90.57° and 90.00°. The distinct sites, in fractional coordinates, are Sc at (0.246, 0.250, 0.331), Cd at (0.252, 0.250, 0.679), Cd at (0.256, 0.250, 0.997), Au at (0.246, 0.750, 0.167) and Au at (0.251, 0.750, 0.508).

As for the distance to the lowest polymorph of the same formula: 0.00 kJ/mol of atoms. For the volume, the calculation gives 220.01 Å³/cell. The calculation puts the density of states at the Fermi level at 3.66 states/eV/f.u.

Calculated total magnetic moment in order - 0.00 0.00 μB/cell
Calculated DFT formation energy in order - 0.24 -0.40 eV per atom